# 1
# Nb2Ge2Cl

A relaxed Nb2Ge2Cl crystal (PBE-GGA, Alexandria).

```
Nb2Ge2Cl
1.0
-2.250 6.492 4.188
-4.985 -4.553 4.379
2.160 -0.501 1.938
Ge Nb Cl
4 4 2
Direct
0.657 0.157 0.000
0.843 0.657 0.000
0.343 0.843 0.000
0.157 0.343 0.000
0.867 0.367 0.500
0.633 0.867 0.500
0.133 0.633 0.500
0.367 0.133 0.500
0.500 0.500 0.000
0.000 0.000 0.000
```

Computed properties:
- excess energy over the best structure of this formula in the dataset (meV/atom) = 0
- raw total energy (eV per atom) = -6.1387
- formation energy (no corrections) (meV per atom) = 105


# 2
# Eu2InAg

A relaxed Eu2InAg crystal (PBE-GGA, Alexandria).

```
Eu2InAg
1.0
3.980 0.000 0.000
1.990 3.446 0.000
1.990 1.149 9.453
In Eu Ag
1 2 1
Direct
0.500 0.500 0.500
0.256 0.256 0.233
0.744 0.744 0.767
0.000 0.000 0.000
```

Computed properties:
- energy of formation (eV/atom) = -0.180
- raw total energy (eV per atom) = -6.7142


# 3
# CsLiPbBr4

A relaxed CsLiPbBr4 crystal (PBE-GGA, Alexandria).

```
CsLiPbBr4
1.0
7.196 0.000 -0.184
0.000 7.603 0.000
-3.059 0.000 9.371
Br Pb Li Cs
8 2 2 2
Direct
0.572 0.250 0.836
0.012 0.997 0.708
0.988 0.497 0.292
0.012 0.503 0.708
0.988 0.003 0.292
0.544 0.250 0.422
0.428 0.750 0.164
0.456 0.750 0.578
0.779 0.750 0.454
0.221 0.250 0.546
0.773 0.250 0.672
0.227 0.750 0.328
0.742 0.750 0.942
0.258 0.250 0.058
```

Computed properties:
- raw total energy (eV per atom) = -3.2246
- formation energy (no corrections) (meV per atom) = -1344


# 4
# La4Tb3Te8

A relaxed La4Tb3Te8 crystal (PBE-GGA, Alexandria).

```
La4Tb3Te8
1.0
8.967 -0.130 -0.186
-4.377 7.803 0.138
-4.377 -2.579 7.366
Te La Tb
8 4 3
Direct
0.000 0.259 0.741
0.482 0.736 0.736
0.518 0.264 0.264
0.500 0.745 0.255
0.000 0.741 0.259
0.010 0.263 0.263
0.500 0.255 0.745
0.990 0.737 0.737
0.500 0.000 0.000
0.000 0.000 0.000
0.000 0.000 0.500
0.000 0.500 0.000
0.500 0.500 0.500
0.500 0.000 0.500
0.500 0.500 0.000
```

Computed properties:
- excess energy over the best structure of this formula in the dataset (meV/atom) = 0
- raw total energy (eV per atom) = -5.4057
- formation energy (no corrections) (meV per atom) = -1490


# 5
# Pr4P3

A relaxed Pr4P3 crystal (PBE-GGA, Alexandria).

```
Pr4P3
1.0
-7.324 2.400 -0.174
2.004 -1.615 7.267
4.589 5.548 -2.758
P Pr
6 8
Direct
0.750 0.625 0.375
0.125 0.375 0.250
0.625 0.750 0.875
0.250 0.875 0.125
0.375 0.125 0.750
0.875 0.250 0.625
0.130 0.630 0.630
0.870 0.500 0.000
0.370 0.500 0.000
0.500 0.870 0.500
0.630 0.130 0.130
0.000 0.000 0.370
0.000 0.000 0.870
0.500 0.370 0.500
```

Computed properties:
- energy of formation (eV/atom) = -1.276
- excess energy over the best structure of this formula in the dataset (meV/atom) = 7
- raw total energy (eV per atom) = -6.3259


# 6
# Mn2AlSb

A relaxed Mn2AlSb crystal (PBE-GGA, Alexandria).

```
Mn2AlSb
1.0
-0.257 0.030 3.714
-2.745 -1.078 -0.181
-0.568 -6.526 0.013
Sb Al Mn
1 1 2
Direct
0.500 0.250 0.250
0.500 0.750 0.750
0.000 0.476 0.524
0.000 0.024 0.976
```

Computed properties:
- excess energy over the best structure of this formula in the dataset (meV/atom) = 58
- raw total energy (eV per atom) = -6.4299
- formation energy (no corrections) (meV per atom) = 121


# 7
# MgMn2Ir

A relaxed MgMn2Ir crystal (PBE-GGA, Alexandria).

```
MgMn2Ir
1.0
-5.228 3.658 2.879
-1.447 -5.392 4.223
-1.752 0.050 5.265
Mn Ir Mg
4 2 2
Direct
0.673 0.125 0.250
0.875 0.923 0.750
0.077 0.625 0.250
0.375 0.327 0.750
0.750 0.250 0.500
0.000 0.000 0.000
0.500 0.500 0.000
0.250 0.750 0.500
```

Computed properties:
- energy of formation (eV/atom) = 0.656
- raw total energy (eV per atom) = -6.5428


# 8
# K2CoSi

A relaxed K2CoSi crystal (PBE-GGA, Alexandria).

```
K2CoSi
1.0
-2.062 -5.820 -1.769
0.127 -4.540 4.541
-2.368 5.693 -1.799
Co K Si
1 2 1
Direct
0.328 0.828 0.500
0.717 0.217 0.500
0.025 0.025 0.000
0.430 0.430 0.000
```

Computed properties:
- raw total energy (eV per atom) = -3.3431
- formation energy (no corrections) (meV per atom) = 338